## MnCuF4 (PBE with a Hubbard U)

Data for a relaxed structure of MnCuF4.

Output
Magnetization   8.00 μB per cell
E above lowest polymorph   71.4 meV per atom

abc: 5.9074 5.9074 5.9074
angles: 111.59 111.59 105.31
Last column: nearest neighbours and their distance in Å.
Fractional coordinates of all 12 atoms:
Mn 0.3750 0.6250 0.7500  4 F 2.04
Mn 0.6250 0.3750 0.2500  4 F 2.04
Cu 0.1250 0.8750 0.2500  4 F 1.95
Cu 0.8750 0.1250 0.7500  4 F 1.95
F 0.1208 0.6740 0.4468  1 Cu 1.95, 1 Mn 2.04
F 0.2728 0.3260 0.9468  1 Cu 1.95, 1 Mn 2.04
F 0.3260 0.2728 0.4468  1 Cu 1.95, 1 Mn 2.04
F 0.3260 0.8792 0.0532  1 Cu 1.95, 1 Mn 2.04
F 0.6740 0.1208 0.9468  1 Cu 1.95, 1 Mn 2.04
F 0.6740 0.7272 0.5532  1 Cu 1.95, 1 Mn 2.04
F 0.7272 0.6740 0.0532  1 Cu 1.95, 1 Mn 2.04
F 0.8792 0.3260 0.5532  1 Cu 1.95, 1 Mn 2.04